Computed, not measured: a geometry-optimized W2I2O structure at the PBE+U level of DFT.

Cell and atoms, written as extended XYZ:
```
10
Lattice="7.9347 0.0000 0.0000 0.0000 7.9347 0.0000 0.0000 0.0000 4.1757" Properties=species:S:1:pos:R:3 pbc="T T T"
W 1.2180 2.7494 0.0000
W 2.7494 6.7167 0.0000
W 5.1853 1.2180 0.0000
W 6.7167 5.1853 0.0000
I 1.3101 5.2775 2.0878
I 2.6572 1.3101 2.0878
I 5.2775 6.6246 2.0878
I 6.6246 2.6572 2.0878
O 0.0000 0.0000 2.0878
O 3.9673 3.9673 2.0878
```

## Properties
* energy: -3.106 eV/atom